# PmY2Hg (PBE, relaxed)
# Energy relative to the lowest polymorph listed for this composition   0.0 kJ/mol of formula units
# Energy of formation   -0.24 eV per atom
data_PmY2Hg
_cell_length_a 3.644
_cell_length_b 3.644
_cell_length_c 8.950
_cell_angle_alpha 90.00
_cell_angle_beta 90.00
_cell_angle_gamma 90.00
_space_group_name_H-M_alt 'P 4/m m m'
_space_group_IT_number 123
_space_group_name_Hall '-P 4 2'
loop_
_atom_site_label
_atom_site_fract_x
_atom_site_fract_y
_atom_site_fract_z
_atom_site_occupancy
Pm1 0.000 0.000 0.000 1
Y1 0.500 0.500 0.283 1
Hg1 0.000 0.000 0.500 1


# PmY2Hg6 (PBE, relaxed)
# Energy of formation   -0.41 eV per atom
data_PmY2Hg6
_cell_length_a 8.6086
_cell_length_b 8.6086
_cell_length_c 3.4778
_cell_angle_alpha 90.00
_cell_angle_beta 90.00
_cell_angle_gamma 120.00
_space_group_name_H-M_alt 'P 6/m m m'
_space_group_IT_number 191
_space_group_name_Hall '-P 6 2'
loop_
_atom_site_label
_atom_site_fract_x
_atom_site_fract_y
_atom_site_fract_z
_atom_site_occupancy
Pm1 0.0000 0.0000 0.0000 1
Y1 0.3333 0.6667 0.0000 1
Hg1 0.0000 0.3349 0.5000 1


# Pm4Zn2Hg (PBE, relaxed)
# Energy of formation   -0.22 eV per atom
data_Pm4Zn2Hg
_cell_length_a 5.2002
_cell_length_b 5.2002
_cell_length_c 25.0009
_cell_angle_alpha 90.00
_cell_angle_beta 90.00
_cell_angle_gamma 120.00
_space_group_name_H-M_alt 'R -3 m'
_space_group_IT_number 166
_space_group_name_Hall '-R 3 2"'
loop_
_atom_site_label
_atom_site_fract_x
_atom_site_fract_y
_atom_site_fract_z
_atom_site_occupancy
Pm1 0.0000 0.0000 0.1175 1
Pm2 0.0000 0.0000 0.3696 1
Zn1 0.0000 0.0000 0.2478 1
Hg1 0.0000 0.0000 0.5000 1


# PmZn2Hg (PBE, relaxed)
# Energy relative to the lowest polymorph listed for this composition   27.7 kJ/mol of formula units
# Energy of formation   -0.22 eV per atom
data_PmZn2Hg
_cell_length_a 4.491
_cell_length_b 4.491
_cell_length_c 4.433
_cell_angle_alpha 90.00
_cell_angle_beta 90.00
_cell_angle_gamma 90.00
_space_group_name_H-M_alt 'P 4/m m m'
_space_group_IT_number 123
_space_group_name_Hall '-P 4 2'
loop_
_atom_site_label
_atom_site_fract_x
_atom_site_fract_y
_atom_site_fract_z
_atom_site_occupancy
Pm1 0.000 0.000 0.000 1
Zn1 0.000 0.500 0.500 1
Hg1 0.500 0.500 0.000 1


# Pm3ZnHg5 (PBE, relaxed)
# Energy of formation   -0.40 eV per atom
data_Pm3ZnHg5
_cell_length_a 9.0733
_cell_length_b 9.0733
_cell_length_c 6.4077
_cell_angle_alpha 90.00
_cell_angle_beta 90.00
_cell_angle_gamma 120.00
_space_group_name_H-M_alt 'P 63/m c m'
_space_group_IT_number 193
_space_group_name_Hall '-P 6c 2'
loop_
_atom_site_label
_atom_site_fract_x
_atom_site_fract_y
_atom_site_fract_z
_atom_site_occupancy
Pm1 0.0000 0.3314 0.2500 1
Zn1 0.0000 0.0000 0.0000 1
Hg1 0.0000 0.3298 0.7500 1
Hg2 0.3333 0.6667 0.0000 1


# PmZn2Hg (PBE, relaxed)
# Energy relative to the lowest polymorph listed for this composition   0.0 kJ/mol of formula units
# Energy of formation   -0.30 eV per atom
data_PmZn2Hg
_cell_length_a 3.742
_cell_length_b 20.374
_cell_length_c 4.595
_cell_angle_alpha 90.00
_cell_angle_beta 90.00
_cell_angle_gamma 90.00
_space_group_name_H-M_alt 'C m c m'
_space_group_IT_number 63
_space_group_name_Hall '-C 2c 2'
loop_
_atom_site_label
_atom_site_fract_x
_atom_site_fract_y
_atom_site_fract_z
_atom_site_occupancy
Pm1 0.000 0.098 0.250 1
Zn1 0.000 0.263 0.750 1
Zn2 0.000 0.473 0.250 1
Hg1 0.000 0.339 0.250 1


# Pm5Zn2Hg2 (PBE, relaxed)
# Energy of formation   -0.31 eV per atom
data_Pm5Zn2Hg2
_cell_length_a 17.229
_cell_length_b 7.595
_cell_length_c 7.729
_cell_angle_alpha 90.00
_cell_angle_beta 90.00
_cell_angle_gamma 90.00
_space_group_name_H-M_alt 'C m c e'
_space_group_IT_number 64
_space_group_name_Hall '-C 2ac 2'
loop_
_atom_site_label
_atom_site_fract_x
_atom_site_fract_y
_atom_site_fract_z
_atom_site_occupancy
Pm1 0.000 0.000 0.000 1
Pm2 0.135 0.183 0.322 1
Zn1 0.000 0.116 0.620 1
Hg1 0.220 0.000 0.000 1


# Pm3Zn4Hg2 (PBE, relaxed)
# Energy of formation   -0.39 eV per atom
data_Pm3Zn4Hg2
_cell_length_a 10.839
_cell_length_b 4.717
_cell_length_c 8.877
_cell_angle_alpha 90.00
_cell_angle_beta 114.87
_cell_angle_gamma 90.00
_space_group_name_H-M_alt 'C 1 2/m 1'
_space_group_IT_number 12
_space_group_name_Hall '-C 2y'
loop_
_atom_site_label
_atom_site_fract_x
_atom_site_fract_y
_atom_site_fract_z
_atom_site_occupancy
Pm1 0.000 0.000 0.000 1
Pm2 0.167 0.500 0.670 1
Zn1 0.049 0.000 0.391 1
Zn2 0.229 0.500 0.052 1
Hg1 0.112 0.500 0.277 1


# Pm7Zn2Hg2 (PBE, relaxed)
# Energy of formation   -0.06 eV per atom
data_Pm7Zn2Hg2
_cell_length_a 7.703
_cell_length_b 11.193
_cell_length_c 7.860
_cell_angle_alpha 90.00
_cell_angle_beta 90.00
_cell_angle_gamma 90.00
_space_group_name_H-M_alt 'C m m m'
_space_group_IT_number 65
_space_group_name_Hall '-C 2 2'
loop_
_atom_site_label
_atom_site_fract_x
_atom_site_fract_y
_atom_site_fract_z
_atom_site_occupancy
Pm1 0.000 0.000 0.000 1
Pm2 0.000 0.500 0.245 1
Pm3 0.250 0.250 0.279 1
Zn1 0.000 0.290 0.000 1
Hg1 0.184 0.000 0.500 1


# PmZnHg4 (PBE, relaxed)
# Energy of formation   -0.19 eV per atom
data_PmZnHg4
_cell_length_a 5.479
_cell_length_b 6.696
_cell_length_c 7.927
_cell_angle_alpha 90.00
_cell_angle_beta 90.85
_cell_angle_gamma 90.00
_space_group_name_H-M_alt 'P 1 21/m 1'
_space_group_IT_number 11
_space_group_name_Hall '-P 2yb'
loop_
_atom_site_label
_atom_site_fract_x
_atom_site_fract_y
_atom_site_fract_z
_atom_site_occupancy
Pm1 0.155 0.250 0.146 1
Zn1 0.000 0.000 0.500 1
Hg1 0.161 0.750 0.218 1
Hg2 0.337 0.502 0.821 1
Hg3 0.455 0.250 0.488 1


# Pm2Zn15Hg2 (PBE, relaxed)
# Energy of formation   -0.22 eV per atom
data_Pm2Zn15Hg2
_cell_length_a 9.1937
_cell_length_b 9.1937
_cell_length_c 13.4026
_cell_angle_alpha 90.00
_cell_angle_beta 90.00
_cell_angle_gamma 120.00
_space_group_name_H-M_alt 'R -3 m'
_space_group_IT_number 166
_space_group_name_Hall '-R 3 2"'
loop_
_atom_site_label
_atom_site_fract_x
_atom_site_fract_y
_atom_site_fract_z
_atom_site_occupancy
Pm1 0.0000 0.0000 0.1591 1
Zn1 0.0000 0.3019 0.5000 1
Zn2 0.0000 0.5000 0.0000 1
Zn3 0.0152 0.5076 0.6540 1
Hg1 0.0000 0.0000 0.3926 1


# Pm3Zn3Hg (PBE, relaxed)
# Energy of formation   -0.32 eV per atom
data_Pm3Zn3Hg
_cell_length_a 3.651
_cell_length_b 4.624
_cell_length_c 20.235
_cell_angle_alpha 90.00
_cell_angle_beta 90.00
_cell_angle_gamma 90.00
_space_group_name_H-M_alt 'I m m 2'
_space_group_IT_number 44
_space_group_name_Hall 'I 2 -2'
loop_
_atom_site_label
_atom_site_fract_x
_atom_site_fract_y
_atom_site_fract_z
_atom_site_occupancy
Pm1 0.000 0.000 0.000 1
Pm2 0.000 0.000 0.388 1
Pm3 0.000 0.500 0.187 1
Zn1 0.000 0.000 0.554 1
Zn2 0.000 0.000 0.836 1
Zn3 0.000 0.500 0.623 1
Hg1 0.000 0.500 0.757 1


energy of formation of number 12 (Pm3Zn3Hg)?
-0.32 eV per atom


Among the records above, which one has the highest energy of formation?
Pm7Zn2Hg2


Repeat the eleventh record exactly.
# Pm2Zn15Hg2 (PBE, relaxed)
# Energy of formation   -0.22 eV per atom
data_Pm2Zn15Hg2
_cell_length_a 9.1937
_cell_length_b 9.1937
_cell_length_c 13.4026
_cell_angle_alpha 90.00
_cell_angle_beta 90.00
_cell_angle_gamma 120.00
_space_group_name_H-M_alt 'R -3 m'
_space_group_IT_number 166
_space_group_name_Hall '-R 3 2"'
loop_
_atom_site_label
_atom_site_fract_x
_atom_site_fract_y
_atom_site_fract_z
_atom_site_occupancy
Pm1 0.0000 0.0000 0.1591 1
Zn1 0.0000 0.3019 0.5000 1
Zn2 0.0000 0.5000 0.0000 1
Zn3 0.0152 0.5076 0.6540 1
Hg1 0.0000 0.0000 0.3926 1


Number 3 is which compound?
Pm4Zn2Hg